No. 1
First-principles (PBE) data for crystalline Zn2NiRu at its relaxed geometry, as listed in Alexandria.

Cell: 4.172 2.589 4.930 Å, 83.53 90.00 90.00°
Fractional positions:
1 Zn 0.000 0.058 0.006
2 Zn 0.000 0.442 0.494
3 Ni 0.500 0.250 0.250
4 Ru 0.500 0.750 0.750

Results
Its final energy is -4.39 eV/atom. The value obtained for the density is 9.12 Mg/m³. The volume comes out at 13.23 A^3/atom. The calculated formation energy comes out at 0.011 eV/atom. The value obtained for the total magnetization is 0.00 μB/cell.

No. 2
First-principles (PBE) data for crystalline CsSn6Te8 at its relaxed geometry, as listed in Alexandria.

Cell: 4.536 11.830 11.830 Å, 120.00 90.00 90.00°
Fractional positions:
1 Te 0.248 0.650 0.965
2 Te 0.751 0.333 0.667
3 Te 0.248 0.315 0.350
4 Te 0.248 0.035 0.685
5 Te 0.249 0.667 0.333
6 Te 0.752 0.685 0.650
7 Te 0.752 0.350 0.035
8 Te 0.752 0.965 0.315
9 Sn 0.748 0.862 0.515
10 Sn 0.252 0.348 0.862
11 Sn 0.748 0.652 0.138
12 Sn 0.252 0.138 0.485
13 Sn 0.748 0.485 0.348
14 Sn 0.252 0.515 0.652
15 Cs 0.500 0.000 0.000

Results
The uncorrected formation energy is -0.34 eV/atom. Its final energy is -3.67 eV/atom. The value obtained for the density is 5.64 Mg/m³. The volume comes out at 36.65 A^3/atom. The value obtained for the total magnetization is 0.00 μB/cell.

No. 3
First-principles (PBE) data for crystalline Pm3Nd2DyHo6 at its relaxed geometry, as listed in Alexandria.

Cell: 6.215 6.215 11.805 Å, 95.02 95.02 119.98°
Fractional positions:
1 Ho 0.416 0.084 0.250
2 Ho 0.084 0.416 0.250
3 Ho 0.751 0.751 0.250
4 Ho 0.584 0.916 0.750
5 Ho 0.916 0.584 0.750
6 Ho 0.249 0.249 0.750
7 Nd 0.334 0.666 0.000
8 Nd 0.666 0.334 0.000
9 Pm 0.833 0.167 0.500
10 Pm 0.167 0.833 0.500
11 Pm 0.500 0.500 0.500
12 Dy 0.000 0.000 0.000

Results
Its final energy is -4.64 eV/atom. The value obtained for the density is 8.01 Mg/m³. The volume comes out at 32.41 A^3/atom. The calculated formation energy comes out at 0.014 eV/atom. The value obtained for the total magnetization is 0.00 μB/cell.

No. 4
First-principles (PBE) data for crystalline Pm5Nd3Er2 at its relaxed geometry, as listed in Alexandria.

Cell: 9.996 9.963 11.274 Å, 128.45 128.51 66.05°
Fractional positions:
1 Er 0.467 0.727 0.747
2 Er 0.780 0.020 0.747
3 Er 0.533 0.273 0.253
4 Er 0.220 0.980 0.253
5 Nd 0.022 0.781 0.248
6 Nd 0.771 0.021 0.042
7 Nd 0.274 0.532 0.752
8 Nd 0.726 0.468 0.248
9 Nd 0.978 0.219 0.752
10 Nd 0.229 0.979 0.958
11 Pm 0.860 0.616 0.746
12 Pm 0.525 0.275 0.550
13 Pm 0.020 0.770 0.540
14 Pm 0.386 0.130 0.746
15 Pm 0.140 0.384 0.254
16 Pm 0.272 0.522 0.045
17 Pm 0.980 0.230 0.460
18 Pm 0.475 0.725 0.450
19 Pm 0.614 0.870 0.254
20 Pm 0.728 0.478 0.955

Results
Its final energy is -4.54 eV/atom. The value obtained for the density is 7.21 Mg/m³. The volume comes out at 34.39 A^3/atom. The calculated formation energy comes out at 0.178 eV/atom. The value obtained for the total magnetization is 0.00 μB/cell.

Question: Which formula does entry 4 have?
Answer: Pm5Nd3Er2